[1]
Compound: Ho2TlAg
Source: Alexandria
Functional: GGA-PBE
Structure: relaxed

a = 9.179 Å, b = 9.179 Å, c = 9.179 Å
α = 23.82°, β = 23.82°, γ = 23.82°
Atoms (fractional coordinates):
Ho 0.244 0.244 0.244
Ho 0.756 0.756 0.756
Tl 0.000 0.000 0.000
Ag 0.500 0.500 0.500

Values from the calculation:
**Formation enthalpy at 0 K**: -148.4 meV/atom
**Calculated density**: 9.6 g/cm³
**Distance to the lowest polymorph of the same formula**: 0.75 eV/f.u.
**Space group**: R-3m (166)

***

[2]
Compound: Ce2NdFe
Source: Alexandria
Functional: GGA-PBE
Structure: relaxed

a = 3.434 Å, b = 3.434 Å, c = 8.690 Å
α = 90.00°, β = 90.00°, γ = 90.00°
Atoms (fractional coordinates):
Ce 0.000 0.000 0.182
Ce 0.000 0.000 0.818
Nd 0.500 0.500 0.500
Fe 0.500 0.500 0.000

Values from the calculation:
**Formation enthalpy at 0 K**: 117.4 meV/atom
**Calculated density**: 7.8 g/cm³
**Distance to the lowest polymorph of the same formula**: 0.12 eV/f.u.
**Space group**: P4/mmm (123)

***

[3]
Compound: EuErTlZn
Source: Alexandria
Functional: GGA-PBE
Structure: relaxed

a = 5.329 Å, b = 5.329 Å, c = 5.329 Å
α = 60.00°, β = 60.00°, γ = 60.00°
Atoms (fractional coordinates):
Eu 0.000 0.000 0.000
Er 0.500 0.500 0.500
Tl 0.250 0.250 0.250
Zn 0.750 0.750 0.750

Values from the calculation:
**Formation enthalpy at 0 K**: -301.4 meV/atom
**Calculated density**: 9.1 g/cm³
**Space group**: F-43m (216)

***

[4]
Compound: CsNiBrCl2
Source: Alexandria
Functional: GGA-PBE
Structure: relaxed

a = 4.956 Å, b = 4.956 Å, c = 5.133 Å
α = 90.00°, β = 90.00°, γ = 90.00°
Atoms (fractional coordinates):
Cs 0.000 0.000 0.000
Ni 0.500 0.500 0.500
Br 0.500 0.500 0.000
Cl 0.000 0.500 0.500
Cl 0.500 0.000 0.500

Values from the calculation:
**Calculated density**: 4.5 g/cm³
**Space group**: P4/mmm (123)
**Raw formation energy**: -0.964 eV/atom

***

[5]
Compound: Er6PdRu
Source: Alexandria
Functional: GGA-PBE
Structure: relaxed

a = 6.389 Å, b = 6.389 Å, c = 6.683 Å
α = 99.72°, β = 99.72°, γ = 116.97°
Atoms (fractional coordinates):
Er 0.062 0.415 0.242
Er 0.251 0.251 0.759
Er 0.415 0.062 0.242
Er 0.585 0.938 0.758
Er 0.749 0.749 0.241
Er 0.938 0.585 0.758
Pd 0.500 0.500 0.500
Ru 0.000 0.000 0.000

Values from the calculation:
**Formation enthalpy at 0 K**: -267.2 meV/atom
**Calculated density**: 8.7 g/cm³
**Space group**: C2/m (12)

***

[6]
Compound: CdAgHg2
Source: Alexandria
Functional: GGA-PBE
Structure: relaxed

a = 5.373 Å, b = 5.373 Å, c = 5.373 Å
α = 130.82°, β = 130.82°, γ = 72.10°
Atoms (fractional coordinates):
Cd 0.000 0.000 0.000
Ag 0.500 0.500 0.000
Hg 0.250 0.750 0.500
Hg 0.750 0.250 0.500

Values from the calculation:
**Formation enthalpy at 0 K**: 63.0 meV/atom
**Calculated density**: 11.9 g/cm³
**Space group**: I4/mmm (139)

***

[7]
Compound: NdPaSnBi
Source: Alexandria
Functional: GGA-PBE
Structure: relaxed

a = 5.461 Å, b = 5.461 Å, c = 5.461 Å
α = 60.00°, β = 60.00°, γ = 60.00°
Atoms (fractional coordinates):
Nd 0.000 0.000 0.000
Pa 0.500 0.500 0.500
Sn 0.250 0.250 0.250
Bi 0.750 0.750 0.750

Values from the calculation:
**Formation enthalpy at 0 K**: -298.6 meV/atom
**Calculated density**: 10.1 g/cm³
**Space group**: F-43m (216)

***

[8]
Compound: CaNd4Se6
Source: Alexandria
Functional: GGA-PBE
Structure: relaxed

a = 8.336 Å, b = 8.336 Å, c = 8.336 Å
α = 90.77°, β = 90.77°, γ = 90.77°
Atoms (fractional coordinates):
Ca 0.000 0.000 0.000
Ca 0.500 0.500 0.500
Nd 0.138 0.750 0.362
Nd 0.250 0.250 0.250
Nd 0.250 0.638 0.862
Nd 0.362 0.138 0.750
Nd 0.638 0.862 0.250
Nd 0.750 0.362 0.138
Nd 0.750 0.750 0.750
Nd 0.862 0.250 0.638
Se 0.061 0.914 0.680
Se 0.086 0.320 0.939
Se 0.180 0.414 0.561
Se 0.320 0.939 0.086
Se 0.414 0.561 0.180
Se 0.439 0.820 0.586
Se 0.561 0.180 0.414
Se 0.586 0.439 0.820
Se 0.680 0.061 0.914
Se 0.820 0.586 0.439
Se 0.914 0.680 0.061
Se 0.939 0.086 0.320

Values from the calculation:
**Calculated density**: 6.3 g/cm³
**Space group**: R-3c (167)
**Raw formation energy**: -1.753 eV/atom

***

[9]
Compound: NaGa2SnCl8
Source: Alexandria
Functional: GGA-PBE
Structure: relaxed

a = 7.572 Å, b = 7.572 Å, c = 7.879 Å
α = 90.00°, β = 90.00°, γ = 120.00°
Atoms (fractional coordinates):
Na 0.000 0.000 0.000
Ga 0.333 0.667 0.837
Ga 0.667 0.333 0.163
Sn 0.000 0.000 0.500
Cl 0.168 0.336 0.737
Cl 0.168 0.832 0.737
Cl 0.333 0.667 0.114
Cl 0.336 0.168 0.263
Cl 0.664 0.832 0.737
Cl 0.667 0.333 0.886
Cl 0.832 0.168 0.263
Cl 0.832 0.664 0.263

Values from the calculation:
**Calculated density**: 2.4 g/cm³
**Space group**: P-3m1 (164)
**Raw formation energy**: -1.074 eV/atom

***

[10]
Compound: P2Au
Source: Alexandria
Functional: GGA-PBE
Structure: relaxed

a = 5.913 Å, b = 5.913 Å, c = 5.913 Å
α = 148.85°, β = 148.85°, γ = 44.63°
Atoms (fractional coordinates):
P 0.216 0.216 0.000
P 0.784 0.784 0.000
Au 0.000 0.000 0.000

Values from the calculation:
**Formation enthalpy at 0 K**: 22.9 meV/atom
**Calculated density**: 7.8 g/cm³
**Space group**: I4/mmm (139)

***

[11]
Compound: SrTl2Te2
Source: Alexandria
Functional: GGA-PBE
Structure: relaxed

a = 8.885 Å, b = 8.885 Å, c = 4.358 Å
α = 90.00°, β = 90.00°, γ = 90.00°
Atoms (fractional coordinates):
Sr 0.000 0.000 0.000
Sr 0.500 0.500 0.000
Tl 0.120 0.380 0.000
Tl 0.380 0.880 0.000
Tl 0.620 0.120 0.000
Tl 0.880 0.620 0.000
Te 0.188 0.688 0.500
Te 0.312 0.188 0.500
Te 0.688 0.812 0.500
Te 0.812 0.312 0.500

Values from the calculation:
**Calculated density**: 7.3 g/cm³
**Distance to the lowest polymorph of the same formula**: 1.56 eV/f.u.
**Space group**: P4/mbm (127)
**Raw formation energy**: -0.553 eV/atom

***

[12]
Compound: PrLuZrSc
Source: Alexandria
Functional: GGA-PBE
Structure: relaxed

a = 5.377 Å, b = 5.377 Å, c = 5.377 Å
α = 60.00°, β = 60.00°, γ = 60.00°
Atoms (fractional coordinates):
Pr 0.000 0.000 0.000
Lu 0.750 0.750 0.750
Zr 0.500 0.500 0.500
Sc 0.250 0.250 0.250

Values from the calculation:
**Formation enthalpy at 0 K**: 172.1 meV/atom
**Calculated density**: 6.8 g/cm³
**Space group**: F-43m (216)

***

[13]
Compound: In2FeCu
Source: Alexandria
Functional: GGA-PBE
Structure: relaxed

a = 5.792 Å, b = 5.792 Å, c = 5.792 Å
α = 104.31°, β = 104.31°, γ = 120.37°
Atoms (fractional coordinates):
In 0.125 0.625 0.000
In 0.375 0.375 0.500
In 0.625 0.125 0.000
In 0.875 0.875 0.500
Fe 0.000 0.000 0.000
Fe 0.750 0.250 0.500
Cu 0.250 0.750 0.500
Cu 0.500 0.500 0.000

Values from the calculation:
**Formation enthalpy at 0 K**: 634.2 meV/atom
**Calculated density**: 8.0 g/cm³
**Distance to the lowest polymorph of the same formula**: 1.69 eV/f.u.
**Space group**: I-42d (122)

***

[14]
Compound: FeP4Au
Source: Alexandria
Functional: GGA-PBE
Structure: relaxed

a = 5.081 Å, b = 5.081 Å, c = 5.081 Å
α = 60.00°, β = 60.00°, γ = 60.00°
Atoms (fractional coordinates):
Fe 0.000 0.000 0.000
P 0.125 0.625 0.625
P 0.625 0.125 0.625
P 0.625 0.625 0.125
P 0.625 0.625 0.625
Au 0.250 0.250 0.250

Values from the calculation:
**Formation enthalpy at 0 K**: 756.1 meV/atom
**Calculated density**: 6.7 g/cm³
**Space group**: F-43m (216)

***

[15]
Compound: Zn2AgSn
Source: Alexandria
Functional: GGA-PBE
Structure: relaxed

a = 6.111 Å, b = 6.111 Å, c = 6.111 Å
α = 102.45°, β = 102.45°, γ = 124.67°
Atoms (fractional coordinates):
Zn 0.109 0.125 0.484
Zn 0.375 0.891 0.016
Zn 0.641 0.625 0.516
Zn 0.875 0.359 0.984
Ag 0.000 0.000 0.000
Ag 0.750 0.250 0.500
Sn 0.250 0.750 0.500
Sn 0.500 0.500 0.000

Values from the calculation:
**Formation enthalpy at 0 K**: 194.4 meV/atom
**Calculated density**: 7.1 g/cm³
**Space group**: I-42d (122)

***

[16]
Compound: Ru2BrCl
Source: Alexandria
Functional: GGA-PBE
Structure: relaxed

a = 2.932 Å, b = 3.447 Å, c = 8.315 Å
α = 90.00°, β = 91.32°, γ = 90.00°
Atoms (fractional coordinates):
Ru 0.000 0.000 0.000
Ru 0.490 0.500 0.846
Br 0.474 0.000 0.621
Cl 0.013 0.500 0.200

Values from the calculation:
**Calculated density**: 6.3 g/cm³
**Distance to the lowest polymorph of the same formula**: 0.00 eV/f.u.
**Space group**: Pm (6)
**Raw formation energy**: 0.188 eV/atom

***

[17]
Compound: CsNpPb2I8
Source: Alexandria
Functional: GGA-PBE
Structure: relaxed

a = 7.553 Å, b = 7.873 Å, c = 10.051 Å
α = 89.79°, β = 89.71°, γ = 88.92°
Atoms (fractional coordinates):
Cs 0.000 0.000 0.000
Np 0.000 0.000 0.500
Pb 0.500 0.500 0.250
Pb 0.500 0.500 0.750
I 0.241 0.326 0.500
I 0.258 0.844 0.709
I 0.259 0.846 0.290
I 0.264 0.395 0.002
I 0.736 0.605 0.998
I 0.741 0.154 0.710
I 0.742 0.156 0.291
I 0.759 0.674 0.500

Values from the calculation:
**Calculated density**: 5.0 g/cm³
**Space group**: P-1 (2)
**Raw formation energy**: -0.820 eV/atom

***

[18]
Compound: Ce4BiSbO
Source: Alexandria
Functional: GGA-PBE
Structure: relaxed

a = 9.010 Å, b = 9.010 Å, c = 6.686 Å
α = 90.00°, β = 90.00°, γ = 136.40°
Atoms (fractional coordinates):
Ce 0.000 0.500 0.000
Ce 0.000 0.500 0.500
Ce 0.085 0.915 0.750
Ce 0.410 0.590 0.750
Ce 0.500 0.000 0.000
Ce 0.500 0.000 0.500
Ce 0.590 0.410 0.250
Ce 0.915 0.085 0.250
Bi 0.395 0.605 0.250
Bi 0.605 0.395 0.750
Sb 0.109 0.891 0.250
Sb 0.891 0.109 0.750
O 0.248 0.752 0.750
O 0.752 0.248 0.250

Values from the calculation:
**Calculated density**: 8.1 g/cm³
**Space group**: Cmcm (63)
**Raw formation energy**: -1.312 eV/atom

***

[19]
Compound: Tb5Bi2Pb2
Source: Alexandria
Functional: GGA-PBE
Structure: relaxed

a = 8.900 Å, b = 8.900 Å, c = 8.352 Å
α = 90.00°, β = 90.00°, γ = 55.76°
Atoms (fractional coordinates):
Tb 0.000 0.000 0.000
Tb 0.030 0.703 0.662
Tb 0.203 0.530 0.162
Tb 0.297 0.970 0.662
Tb 0.470 0.797 0.162
Tb 0.500 0.500 0.500
Tb 0.530 0.203 0.838
Tb 0.703 0.030 0.338
Tb 0.797 0.470 0.838
Tb 0.970 0.297 0.338
Bi 0.203 0.203 0.000
Bi 0.297 0.297 0.500
Bi 0.703 0.703 0.500
Bi 0.797 0.797 0.000
Pb 0.141 0.859 0.360
Pb 0.359 0.641 0.860
Pb 0.641 0.359 0.140
Pb 0.859 0.141 0.640

Values from the calculation:
**Formation enthalpy at 0 K**: -689.0 meV/atom
**Calculated density**: 9.9 g/cm³
**Space group**: Cmce (64)

***

[20]
Compound: MgSc4ZnGa2
Source: Alexandria
Functional: GGA-PBE
Structure: relaxed

a = 8.323 Å, b = 8.323 Å, c = 8.323 Å
α = 33.49°, β = 33.49°, γ = 33.49°
Atoms (fractional coordinates):
Mg 0.000 0.000 0.000
Sc 0.130 0.130 0.130
Sc 0.380 0.380 0.380
Sc 0.620 0.620 0.620
Sc 0.870 0.870 0.870
Zn 0.500 0.500 0.500
Ga 0.255 0.255 0.255
Ga 0.745 0.745 0.745

Values from the calculation:
**Formation enthalpy at 0 K**: -443.7 meV/atom
**Calculated density**: 4.3 g/cm³
**Space group**: R-3m (166)

***

[21]
Compound: GaTcRh2
Source: Alexandria
Functional: GGA-PBE
Structure: relaxed

a = 9.143 Å, b = 9.143 Å, c = 9.143 Å
α = 156.11°, β = 156.11°, γ = 34.05°
Atoms (fractional coordinates):
Ga 0.000 0.000 0.000
Ga 0.750 0.250 0.500
Tc 0.250 0.750 0.500
Tc 0.500 0.500 0.000
Rh 0.126 0.625 0.001
Rh 0.375 0.376 0.501
Rh 0.624 0.125 0.999
Rh 0.875 0.874 0.499

Values from the calculation:
**Formation enthalpy at 0 K**: 234.1 meV/atom
**Calculated density**: 9.9 g/cm³
**Space group**: I-42d (122)

***

[22]
Compound: Ce2GeOs
Source: Alexandria
Functional: GGA-PBE
Structure: relaxed

a = 5.923 Å, b = 4.061 Å, c = 8.284 Å
α = 90.00°, β = 110.45°, γ = 90.00°
Atoms (fractional coordinates):
Ce 0.183 0.250 0.406
Ce 0.274 0.750 0.050
Ce 0.726 0.250 0.950
Ce 0.817 0.750 0.594
Ge 0.367 0.750 0.706
Ge 0.633 0.250 0.294
Os 0.118 0.250 0.792
Os 0.882 0.750 0.208

Values from the calculation:
**Formation enthalpy at 0 K**: -488.8 meV/atom
**Calculated density**: 9.7 g/cm³
**Distance to the lowest polymorph of the same formula**: 0.00 eV/f.u.
**Space group**: P2_1/m (11)

***

[23]
Compound: BeNiTe2Ir
Source: Alexandria
Functional: GGA-PBE
Structure: relaxed

a = 5.224 Å, b = 5.224 Å, c = 4.119 Å
α = 90.00°, β = 90.00°, γ = 90.00°
Atoms (fractional coordinates):
Be 0.000 0.000 0.000
Ni 0.500 0.500 0.000
Te 0.000 0.500 0.500
Te 0.500 0.000 0.500
Ir 0.000 0.000 0.500

Values from the calculation:
**Calculated density**: 7.6 g/cm³
**Space group**: P4/mmm (123)
**Raw formation energy**: 0.763 eV/atom

***

[24]
Compound: YHf2Th
Source: Alexandria
Functional: GGA-PBE
Structure: relaxed

a = 11.006 Å, b = 11.006 Å, c = 11.006 Å
α = 17.69°, β = 17.69°, γ = 17.69°
Atoms (fractional coordinates):
Y 0.000 0.000 0.000
Hf 0.249 0.249 0.249
Hf 0.751 0.751 0.751
Th 0.500 0.500 0.500

Values from the calculation:
**Formation enthalpy at 0 K**: 220.4 meV/atom
**Calculated density**: 10.5 g/cm³
**Distance to the lowest polymorph of the same formula**: 0.20 eV/f.u.
**Space group**: R-3m (166)

***

[25]
Compound: CeThPb
Source: Alexandria
Functional: GGA-PBE
Structure: relaxed

a = 6.353 Å, b = 6.353 Å, c = 6.353 Å
α = 128.40°, β = 116.98°, γ = 85.71°
Atoms (fractional coordinates):
Ce 0.145 0.145 0.000
Ce 0.855 0.855 0.000
Th 0.329 0.829 0.500
Th 0.671 0.171 0.500
Pb 0.256 0.500 0.756
Pb 0.744 0.500 0.244

Values from the calculation:
**Formation enthalpy at 0 K**: -0.4 meV/atom
**Calculated density**: 11.2 g/cm³
**Distance to the lowest polymorph of the same formula**: 0.81 eV/f.u.
**Space group**: Immm (71)